# Pr6C3S2Cl | Alexandria | PBE | optimized geometry
# total moment = 0.00 μB per formula unit
# VASP energy = -79.0 eV per formula unit
data_Pr6C3S2Cl
_cell_length_a 17.6550
_cell_length_b 3.9034
_cell_length_c 8.1616
_cell_angle_alpha 90.00
_cell_angle_beta 106.92
_cell_angle_gamma 90.00
_space_group_name_H-M_alt 'C 1 2/m 1'
_space_group_IT_number 12
loop_
_space_group_symop_operation_xyz
'x,y,z'
'-x,-y,-z'
'-x,y,-z'
'x,-y,z'
'x+1/2,y+1/2,z'
'-x+1/2,-y+1/2,-z'
'-x+1/2,y+1/2,-z'
'x+1/2,-y+1/2,z'
loop_
_atom_site_label
_atom_site_type_symbol
_atom_site_fract_x
_atom_site_fract_y
_atom_site_fract_z
Pr1 Pr 0.0102 0.0000 0.2206
Pr2 Pr 0.1610 0.5000 0.0995
Pr3 Pr 0.1775 0.5000 0.5636
C1 C 0.0000 0.5000 0.0000
C2 C 0.1675 0.0000 0.3325
S1 S 0.1637 0.0000 0.8272
Cl1 Cl 0.0000 0.5000 0.5000